Arrangement A

Material: Y5Ho7
Method: DFT, GGA-PBE
State: relaxed

Results
M_tot = 0.00 μB per cell
crystal system = monoclinic

Lattice parameters (Å, degrees): 18.4972 3.5579 13.0379 90.00 118.25 90.00
With the nearest neighbours (Å) after each atom.
Space group C2/m (No. 12)
Inequivalent atoms, fractional coordinates:
Y  0.0000  0.0000  0.0000 x2  10 Ho 3.52-3.56, 2 Y 3.56
Y  0.1661  0.0000  0.4991 x4  6 Ho 3.51-3.56, 6 Y 3.55-3.57
Y  0.1951  0.5000  0.7512 x4  8 Ho 3.51-3.57, 4 Y 3.55-3.56
Ho  0.0000  0.5000  0.5000 x2  6 Ho 3.53-3.56, 6 Y 3.54-3.56
Ho  0.0275  0.0000  0.7497 x4  4 Y 3.51-3.57, 8 Ho 3.52-3.56
Ho  0.1386  0.5000  0.2493 x4  7 Y 3.52-3.56, 5 Ho 3.54-3.56
Ho  0.1662  0.5000  0.9985 x4  5 Y 3.51-3.56, 7 Ho 3.52-3.56

Arrangement B

Material: Y5Ho7
Method: DFT, GGA-PBE
State: relaxed

Results
M_tot = 0.00 μB per cell
crystal system = monoclinic

Lattice parameters (Å, degrees): 9.5965 5.6647 14.6173 90.00 102.84 90.00
With the nearest neighbours (Å) after each atom.
Space group C2/m (No. 12)
Inequivalent atoms, fractional coordinates:
Y  0.0000  0.0000  0.0000 x2  2 Ho 3.03
Y  0.1166  0.5000  0.8047 x4  5 Ho 3.24-3.61
Y  0.1440  0.0000  0.4386 x4  7 Ho 3.23-3.59, 1 Y 3.61
Ho  0.0000  0.5000  0.5000 x2  6 Y 3.33-3.36
Ho  0.0523  0.0000  0.2123 x4  5 Y 3.03-3.25
Ho  0.1872  0.5000  0.0795 x4  6 Y 3.42-3.68, 5 Ho 3.52-3.82
Ho  0.2355  0.0000  0.6736 x4  7 Y 3.35-3.74, 4 Ho 3.52-3.67

Which is the most stable structure? arrangement A is the most stable.